[1]
Entry from the Alexandria database: a geometry-optimized CeNd5Y8 structure (PBE).

## Properties
The calculation puts the formation energy at 0.251 eV/atom. Its space group is No. 82.

abc: 8.539 8.539 8.539
angles: 111.38 111.38 105.72
Fractional positions:
Ce  0.000  0.000  0.000
Nd  0.040  0.437  0.823
Nd  0.250  0.750  0.500
Nd  0.563  0.387  0.604
Nd  0.613  0.217  0.177
Nd  0.783  0.960  0.396
Y  0.085  0.323  0.401
Y  0.277  0.172  0.751
Y  0.316  0.915  0.238
Y  0.421  0.526  0.249
Y  0.474  0.723  0.895
Y  0.677  0.079  0.762
Y  0.828  0.579  0.105
Y  0.921  0.684  0.599


[2]
Entry from the Alexandria database: a geometry-optimized CeNd4Y structure (PBE).

## Properties
The calculation puts the formation energy at 0.061 eV/atom. Its space group is No. 12.

abc: 6.302 10.927 6.295
angles: 90.00 109.35 90.00
Fractional positions:
Ce  0.000  0.000  0.000
Ce  0.500  0.500  0.000
Nd  0.000  0.164  0.500
Nd  0.000  0.334  0.000
Nd  0.000  0.666  0.000
Nd  0.000  0.836  0.500
Nd  0.500  0.166  0.000
Nd  0.500  0.336  0.500
Nd  0.500  0.664  0.500
Nd  0.500  0.834  0.000
Y  0.000  0.500  0.500
Y  0.500  0.000  0.500


[3]
Entry from the Alexandria database: a geometry-optimized CeNdY4 structure (PBE).

## Properties
The calculation puts the formation energy at 0.028 eV/atom. Its space group is No. 12.

abc: 17.388 3.607 6.274
angles: 90.00 96.93 90.00
Fractional positions:
Ce  0.000  0.000  0.000
Ce  0.500  0.500  0.000
Nd  0.000  0.500  0.500
Nd  0.500  0.000  0.500
Y  0.166  0.500  0.890
Y  0.167  0.000  0.386
Y  0.333  0.500  0.614
Y  0.334  0.000  0.110
Y  0.666  0.000  0.890
Y  0.667  0.500  0.386
Y  0.833  0.000  0.614
Y  0.834  0.500  0.110


[4]
Entry from the Alexandria database: a geometry-optimized CeNd15Y4 structure (PBE).

## Properties
The calculation puts the formation energy at 0.025 eV/atom. Its space group is No. 123.

abc: 5.175 5.175 25.795
angles: 90.00 90.00 90.00
Fractional positions:
Ce  0.000  0.000  0.000
Nd  0.000  0.500  0.099
Nd  0.000  0.500  0.300
Nd  0.000  0.500  0.500
Nd  0.000  0.500  0.700
Nd  0.000  0.500  0.901
Nd  0.500  0.000  0.099
Nd  0.500  0.000  0.300
Nd  0.500  0.000  0.500
Nd  0.500  0.000  0.700
Nd  0.500  0.000  0.901
Nd  0.500  0.500  0.000
Nd  0.500  0.500  0.201
Nd  0.500  0.500  0.400
Nd  0.500  0.500  0.600
Nd  0.500  0.500  0.799
Y  0.000  0.000  0.200
Y  0.000  0.000  0.400
Y  0.000  0.000  0.600
Y  0.000  0.000  0.800


no.,total magnetization (μB per cell)
1,1.9
2,2.2
3,1.7
4,1.2